(1)
Below is crystalline GaSe2S at its relaxed geometry, with properties calculated at the GGA-PBEsol level.

Calculated values
ΔE_f (raw): 0.14 eV/atom
VASP energy: -3.7148 eV per atom
N(E_F): 0.817 states/eV per atom
Volume: 22.2 Å³/atom

abc: 6.6773 6.6773 7.9681
angles: 90.00 90.00 90.00
Space group I-42d (No. 122)
Symmetry-distinct sites (fractional):
Ga 0.0000 0.0000 0.0000 (multiplicity 4)
Se 0.2332 0.7500 0.1250 (multiplicity 8)
S 0.0000 0.0000 0.5000 (multiplicity 4)

---

(2)
Below is crystalline GaSeS3 at its relaxed geometry, with properties calculated at the GGA-PBEsol level.

Calculated values
ΔE_f (raw): 0.53 eV/atom
VASP energy: -3.5412 eV per atom
N(E_F): 0.689 states/eV per atom
Volume: 19.4 Å³/atom

abc: 4.5945 4.5945 4.5945
angles: 90.00 90.00 90.00
Space group Pm-3m (No. 221)
Symmetry-distinct sites (fractional):
Ga 0.0000 0.0000 0.0000 (multiplicity 1)
Se 0.5000 0.5000 0.5000 (multiplicity 1)
S 0.0000 0.0000 0.5000 (multiplicity 3)

---

- The highest volume belongs to which entry?
  GaSe2S